Entry 1:
DFT (PBE) results for a geometry-optimized Cu3HgAs structure.

Results
DOS at the Fermi energy = 0.48 states/eV/cell
Energy of formation from the pure elements = 0.287 eV per atom
Crystal system = cubic
E_tot = -3.1605 eV/atom

Cell lengths 4.616, 4.616, 4.616 Å; angles 90.00, 90.00, 90.00 degrees
Element x y z (fractional)
Cu1 0.000 0.000 0.500
Cu2 0.000 0.500 0.000
Cu3 0.500 0.000 0.000
Hg1 0.500 0.500 0.500
As1 0.000 0.000 0.000

Entry 2:
DFT (PBE) results for a geometry-optimized Cu2HgAs structure.

Results
DOS at the Fermi energy = 1.37 states/eV/cell
Energy of formation from the pure elements = 0.213 eV per atom
Crystal system = monoclinic
E_tot = -3.0732 eV/atom

Cell lengths 3.007, 3.319, 6.579 Å; angles 90.00, 90.09, 90.00 degrees
Element x y z (fractional)
Cu1 0.001 0.000 0.280
Cu2 0.999 0.000 0.720
Hg1 0.500 0.500 0.000
As1 0.500 0.500 0.500

Entry 3:
DFT (PBE) results for a geometry-optimized CuHg4As structure.

Results
DOS at the Fermi energy = 3.47 states/eV/cell
Energy of formation from the pure elements = 0.580 eV per atom
Crystal system = cubic
E_tot = -1.0792 eV/atom

Cell lengths 5.844, 5.844, 5.844 Å; angles 60.00, 60.00, 60.00 degrees
Element x y z (fractional)
Cu1 0.000 0.000 0.000
Hg1 0.124 0.625 0.625
Hg2 0.625 0.124 0.625
Hg3 0.625 0.625 0.124
Hg4 0.625 0.625 0.625
As1 0.250 0.250 0.250

Entry 4:
DFT (PBE) results for a geometry-optimized Cu2HgAs structure.

Results
DOS at the Fermi energy = 1.49 states/eV/cell
Energy of formation from the pure elements = 0.221 eV per atom
Crystal system = trigonal
E_tot = -3.0649 eV/atom

Cell lengths 6.852, 6.852, 6.852 Å; angles 30.15, 30.15, 30.15 degrees
Element x y z (fractional)
Cu1 0.000 0.000 0.000
Cu2 0.189 0.189 0.189
Hg1 0.763 0.763 0.763
As1 0.594 0.594 0.594

Entry 5:
DFT (PBE) results for a geometry-optimized Cu2HgAs structure.

Results
DOS at the Fermi energy = 1.40 states/eV/cell
Energy of formation from the pure elements = 0.180 eV per atom
Crystal system = orthorhombic
E_tot = -3.1063 eV/atom

Cell lengths 6.795, 6.795, 6.795 Å; angles 155.58, 146.22, 42.12 degrees
Element x y z (fractional)
Cu1 0.000 0.000 0.000
Cu2 0.718 0.218 0.500
Hg1 0.317 0.817 0.500
As1 0.556 0.556 0.000

Entry 6:
DFT (PBE) results for a geometry-optimized CuHgAs structure.

Results
DOS at the Fermi energy = 1.84 states/eV/cell
Energy of formation from the pure elements = 0.070 eV per atom
Crystal system = triclinic
E_tot = -2.9462 eV/atom

Cell lengths 3.830, 4.350, 9.079 Å; angles 92.42, 91.36, 116.05 degrees
Element x y z (fractional)
Cu1 0.233 0.477 0.397
Cu2 0.767 0.523 0.603
Hg1 0.166 0.321 0.101
Hg2 0.834 0.679 0.899
As1 0.084 0.155 0.630
As2 0.916 0.845 0.370

Entry 7:
DFT (PBE) results for a geometry-optimized Cu2HgAs structure.

Results
DOS at the Fermi energy = 1.06 states/eV/cell
Energy of formation from the pure elements = 0.166 eV per atom
Crystal system = monoclinic
E_tot = -3.1199 eV/atom

Cell lengths 4.365, 4.365, 6.037 Å; angles 103.67, 103.67, 40.54 degrees
Element x y z (fractional)
Cu1 0.000 0.000 0.000
Cu2 0.747 0.747 0.192
Hg1 0.508 0.508 0.455
As1 0.254 0.254 0.852

Entry 8:
DFT (PBE) results for a geometry-optimized CuHgAs structure.

Results
DOS at the Fermi energy = 1.06 states/eV/cell
Energy of formation from the pure elements = 0.208 eV per atom
Crystal system = orthorhombic
E_tot = -2.8075 eV/atom

Cell lengths 6.633, 6.633, 6.633 Å; angles 156.15, 147.73, 40.52 degrees
Element x y z (fractional)
Cu1 0.000 0.000 0.000
Hg1 0.686 0.686 0.000
As1 0.415 0.415 0.000

Number 1: magnetic moment 0.000 μB/atom. Number 2: magnetic moment 0.000 μB/atom. Number 3: magnetic moment 0.000 μB/atom. Number 4: magnetic moment 0.000 μB/atom. Number 5: magnetic moment 0.000 μB/atom. Number 6: magnetic moment 0.000 μB/atom. Number 7: magnetic moment 0.000 μB/atom. Number 8: magnetic moment 0.000 μB/atom.